(1)
PmThCoGe: relaxed, PBE.

a b c (Å): 7.1814 7.1814 7.1814
angles (deg): 90.00 90.00 90.00
With the nearest neighbours (Å) after each atom.
Positions (direct):
Pm (0.0000, 0.0000, 0.0000)  4 Co 3.11, 4 Ge 3.11
Pm (0.0000, 0.5000, 0.5000)  4 Co 3.11, 4 Ge 3.11
Pm (0.5000, 0.0000, 0.5000)  4 Co 3.11, 4 Ge 3.11
Pm (0.5000, 0.5000, 0.0000)  4 Co 3.11, 4 Ge 3.11
Th (0.0000, 0.0000, 0.5000)  4 Ge 3.11, 4 Co 3.11
Th (0.0000, 0.5000, 0.0000)  4 Ge 3.11, 4 Co 3.11
Th (0.5000, 0.0000, 0.0000)  4 Ge 3.11, 4 Co 3.11
Th (0.5000, 0.5000, 0.5000)  4 Ge 3.11, 4 Co 3.11
Co (0.2500, 0.2500, 0.2500)  4 Th 3.11, 4 Pm 3.11
Co (0.2500, 0.7500, 0.7500)  4 Th 3.11, 4 Pm 3.11
Co (0.7500, 0.2500, 0.7500)  4 Th 3.11, 4 Pm 3.11
Co (0.7500, 0.7500, 0.2500)  4 Th 3.11, 4 Pm 3.11
Ge (0.2500, 0.2500, 0.7500)  4 Th 3.11, 4 Pm 3.11
Ge (0.2500, 0.7500, 0.2500)  4 Th 3.11, 4 Pm 3.11
Ge (0.7500, 0.2500, 0.2500)  4 Th 3.11, 4 Pm 3.11
Ge (0.7500, 0.7500, 0.7500)  4 Pm 3.11, 4 Th 3.11

Results
E_form = -0.2356 eV per atom
DFT total energy = -6.209 eV per atom
size of the total moment = 1.55 μB per formula unit

---

(2)
LaTl2Pb: relaxed, PBE.

a b c (Å): 4.0669 4.0669 7.3690
angles (deg): 90.00 90.00 90.00
With the nearest neighbours (Å) after each atom.
Positions (direct):
La (0.0000, 0.0000, 0.0000)  8 Tl 3.48, 2 Pb 3.68
Tl (0.5000, 0.5000, 0.2667)  4 Pb 3.35, 1 Tl 3.44, 4 La 3.48
Tl (0.5000, 0.5000, 0.7333)  4 Pb 3.35, 1 Tl 3.44, 4 La 3.48
Pb (0.0000, 0.0000, 0.5000)  8 Tl 3.35, 2 La 3.68

Results
E_form = -0.2042 eV per atom
DFT total energy = -3.546 eV per atom
size of the total moment = 0.00 μB per formula unit

---

(3)
NdHo2Fe: relaxed, PBE.

a b c (Å): 3.4798 3.4798 32.0116
angles (deg): 90.00 90.00 120.00
With the nearest neighbours (Å) after each atom.
Positions (direct):
Nd (0.0000, 0.0000, 0.0000)  6 Nd 3.48, 2 Ho 3.51
Nd (0.3333, 0.6667, 0.6667)  6 Nd 3.48, 2 Ho 3.51
Nd (0.6667, 0.3333, 0.3333)  6 Nd 3.48, 2 Ho 3.51
Ho (0.0000, 0.0000, 0.1095)  3 Fe 2.72
Ho (0.0000, 0.0000, 0.8905)  3 Fe 2.72
Ho (0.3333, 0.6667, 0.5572)  3 Fe 2.72
Ho (0.3333, 0.6667, 0.7762)  3 Fe 2.72
Ho (0.6667, 0.3333, 0.2238)  3 Fe 2.72
Ho (0.6667, 0.3333, 0.4428)  3 Fe 2.72
Fe (0.0000, 0.0000, 0.5000)  6 Ho 2.72
Fe (0.3333, 0.6667, 0.1667)  6 Ho 2.72
Fe (0.6667, 0.3333, 0.8333)  6 Ho 2.72

Results
E_form = 0.3043 eV per atom
DFT total energy = -5.292 eV per atom
size of the total moment = 1.02 μB per formula unit
ΔE to the lowest computed polymorph = 0.242 eV per atom

---

(4)
Na2Pr2PaSe6: relaxed, PBE.

a b c (Å): 7.3850 7.3850 7.4490
angles (deg): 99.59 99.59 119.45
With the nearest neighbours (Å) after each atom.
Positions (direct):
Na (0.1694, 0.8306, 0.0000)  6 Se 3.07-3.15
Na (0.8306, 0.1694, 0.0000)  6 Se 3.07-3.15
Pr (0.3345, 0.6655, 0.5000)  6 Se 2.99-3.01
Pr (0.6655, 0.3345, 0.5000)  6 Se 2.99-3.01
Pa (0.0000, 0.0000, 0.5000)  6 Se 2.85-2.88
Se (0.0744, 0.3969, 0.7307)  1 Pa 2.88, 2 Pr 2.99-3.01, 2 Na 3.07-3.15
Se (0.2390, 0.2390, 0.2698)  1 Pa 2.85, 2 Pr 3.00, 2 Na 3.08
Se (0.3969, 0.0744, 0.7307)  1 Pa 2.88, 2 Pr 2.99-3.01, 2 Na 3.07-3.15
Se (0.6031, 0.9256, 0.2693)  1 Pa 2.88, 2 Pr 2.99-3.01, 2 Na 3.07-3.15
Se (0.7610, 0.7610, 0.7302)  1 Pa 2.85, 2 Pr 3.00, 2 Na 3.08
Se (0.9256, 0.6031, 0.2693)  1 Pa 2.88, 2 Pr 2.99-3.01, 2 Na 3.07-3.15

Results
DFT total energy = -5.452 eV per atom
size of the total moment = 1.06 μB per formula unit

---

(5)
TlSnTe3Pb: relaxed, PBE.

a b c (Å): 8.6184 5.0800 10.3251
angles (deg): 90.00 103.92 90.00
With the nearest neighbours (Å) after each atom.
Positions (direct):
Tl (0.2330, 0.2500, 0.2449)  5 Te 3.45-3.62
Tl (0.7670, 0.7500, 0.7551)  5 Te 3.45-3.62
Sn (0.1238, 0.2500, 0.6294)  4 Te 2.89-3.03
Sn (0.8762, 0.7500, 0.3706)  4 Te 2.89-3.03
Te (0.0601, 0.2500, 0.8919)  1 Sn 2.89
Te (0.2226, 0.7500, 0.5266)  3 Sn 2.96-3.03
Te (0.4834, 0.7500, 0.1965)  3 Pb 3.07-3.31, 1 Sn 3.43
Te (0.5165, 0.2500, 0.8035)  3 Pb 3.07-3.31, 1 Sn 3.43
Te (0.7774, 0.2500, 0.4734)  3 Sn 2.96-3.03
Te (0.9399, 0.7500, 0.1081)  1 Sn 2.89
Pb (0.3217, 0.7500, 0.8968)  5 Te 3.07-3.39
Pb (0.6783, 0.2500, 0.1032)  5 Te 3.07-3.39

Results
DFT total energy = -3.492 eV per atom
size of the total moment = 0.00 μB per formula unit

---

(6)
MgTlNF2: relaxed, PBE.

a b c (Å): 4.4821 4.4821 4.2388
angles (deg): 90.00 90.00 90.00
With the nearest neighbours (Å) after each atom.
Positions (direct):
Mg (0.0000, 0.0000, 0.0000)  8 F 3.08, 4 N 3.17
Tl (0.5000, 0.5000, 0.5000)  2 N 2.12, 4 F 2.24
N (0.5000, 0.5000, 0.0000)  2 Tl 2.12
F (0.0000, 0.5000, 0.5000)  2 Tl 2.24
F (0.5000, 0.0000, 0.5000)  2 Tl 2.24

Results
DFT total energy = -3.705 eV per atom
size of the total moment = 0.06 μB per formula unit
ΔE to the lowest computed polymorph = 0.846 eV per atom

---

(7)
ScInAu5: relaxed, PBE.

a b c (Å): 5.3258 5.3258 10.1819
angles (deg): 102.49 102.49 96.30
With the nearest neighbours (Å) after each atom.
Positions (direct):
Sc (0.0000, 0.5000, 0.0000)  8 Au 2.80-3.10
Sc (0.5000, 0.0000, 0.5000)  8 Au 2.80-3.10
In (0.2400, 0.7600, 0.7500)  9 Au 2.83-3.07
In (0.7600, 0.2400, 0.2500)  9 Au 2.83-3.07
Au (0.0664, 0.2688, 0.5382)  5 Au 2.77-3.06, 2 Sc 2.90-3.10, 2 In 2.92-3.00
Au (0.1160, 0.8840, 0.2500)  6 Au 2.78-3.02, 2 Sc 2.80, 1 In 2.83
Au (0.2688, 0.0664, 0.0382)  5 Au 2.77-3.06, 2 Sc 2.90-3.10, 2 In 2.92-3.00
Au (0.3467, 0.4489, 0.3539)  2 In 2.87-3.07, 7 Au 2.89-3.16, 2 Sc 2.92-3.17
Au (0.4489, 0.3467, 0.8539)  2 In 2.87-3.07, 7 Au 2.89-3.16, 2 Sc 2.92-3.17
Au (0.5511, 0.6533, 0.1461)  2 In 2.87-3.07, 7 Au 2.89-3.16, 2 Sc 2.92-3.17
Au (0.6533, 0.5511, 0.6461)  2 In 2.87-3.07, 7 Au 2.89-3.16, 2 Sc 2.92-3.17
Au (0.7312, 0.9336, 0.9618)  5 Au 2.77-3.06, 2 Sc 2.90-3.10, 2 In 2.92-3.00
Au (0.8840, 0.1160, 0.7500)  6 Au 2.78-3.02, 2 Sc 2.80, 1 In 2.83
Au (0.9336, 0.7312, 0.4618)  5 Au 2.77-3.06, 2 Sc 2.90-3.10, 2 In 2.92-3.00

Results
E_form = -0.3319 eV per atom
DFT total energy = -3.969 eV per atom
size of the total moment = 0.00 μB per formula unit

---

Question: Number 5 is which compound?
Answer: TlSnTe3Pb